The following is a DFT calculation (GGA+U) of crystalline GeMoOF2 at its relaxed geometry.

Lattice parameters (Å, degrees): 4.2448 4.2448 4.2088 90.00 90.00 90.00
Closest atoms and distances in Å follow each position.
Space group P4/mmm (No. 123)
One atom of each set of equivalent atoms:
Ge  0.0000  0.0000  0.0000  8 F 2.99, 4 O 3.00
Mo  0.5000  0.5000  0.5000  2 O 2.10, 4 F 2.12
O  0.5000  0.5000  0.0000  2 Mo 2.10
F  0.0000  0.5000  0.5000  2 Mo 2.12

- Relative energy among the computed polymorphs: 0.0000 eV/atom
- DFT total energy: -5.33 eV per atom
- Size of the total moment: 2.9 μB per formula unit